Version P
A plane-wave DFT calculation with GGA+U was carried out for Ca2VIrO6 after structural relaxation.

## Properties
The magnetic moment comes out at 0.00 μB/atom. The crystal system is monoclinic.

Cell and atoms, written as CIF:
```
data_Ca2VIrO6
_cell_length_a 5.368
_cell_length_b 5.531
_cell_length_c 9.336
_cell_angle_alpha 90.00
_cell_angle_beta 124.77
_cell_angle_gamma 90.00
_space_group_name_H-M_alt 'P 1 21/c 1'
_space_group_IT_number 14
_space_group_name_Hall '-P 2ybc'
loop_
_atom_site_label
_atom_site_type_symbol
_atom_site_fract_x
_atom_site_fract_y
_atom_site_fract_z
_atom_site_occupancy
Ca1 Ca 0.236 0.054 0.249 1
V1 V 0.500 0.000 0.000 1
Ir1 Ir 0.000 0.000 0.500 1
O1 O 0.166 0.196 0.957 1
O2 O 0.259 0.714 0.953 1
O3 O 0.347 0.022 0.758 1
```

***

Version Q
A plane-wave DFT calculation with GGA+U was carried out for Ca2VIrO6 after structural relaxation.

## Properties
The magnetic moment comes out at 0.01 μB/atom. The crystal system is tetragonal.

Cell and atoms, written as CIF:
```
data_Ca2VIrO6
_cell_length_a 5.473
_cell_length_b 5.473
_cell_length_c 4.005
_cell_angle_alpha 90.00
_cell_angle_beta 90.00
_cell_angle_gamma 90.00
_space_group_name_H-M_alt 'P 4 m m'
_space_group_IT_number 99
_space_group_name_Hall 'P 4 -2'
loop_
_atom_site_label
_atom_site_type_symbol
_atom_site_fract_x
_atom_site_fract_y
_atom_site_fract_z
_atom_site_occupancy
Ca1 Ca 0.000 0.500 0.000 1
V1 V 0.000 0.000 0.547 1
Ir1 Ir 0.500 0.500 0.581 1
O1 O 0.000 0.000 0.091 1
O2 O 0.242 0.242 0.600 1
O3 O 0.500 0.500 0.082 1
```

***

Most stable: version P (next structure +127 meV per atom)